1.
An optimized crystal structure of RhPbIN2, computed with PBE-GGA.

## Properties
* total magnetization: 0.6654 μB per atom
* DOS(E_F): 0.677 states/eV/atom

Cell lengths 4.2665, 4.2665, 5.4564 Å; angles 90.00, 90.00, 90.00 degrees
Last column: nearest neighbours and their distance in Å.
Sites, in units of the cell vectors:
I 0.0000 0.0000 0.5000  2 Rh 2.73, 4 Pb 3.02
N 0.5000 0.0000 0.0000  2 Rh 2.13
Rh 0.0000 0.0000 0.0000  4 N 2.13
Pb 0.5000 0.5000 0.5000  4 I 3.02
N 0.0000 0.5000 0.0000  2 Rh 2.13

2.
An optimized crystal structure of AlFe2Mo, computed with PBE-GGA.

## Properties
* total magnetization: 0.7720 μB per atom
* DOS(E_F): 1.430 states/eV/atom
* energy relative to the elements: 96 meV/atom

Cell lengths 8.5987, 8.5987, 8.5987 Å; angles 17.97, 17.97, 17.97 degrees
Last column: nearest neighbours and their distance in Å.
Sites, in units of the cell vectors:
Al 0.7500 0.7500 0.7500  6 Fe 2.57, 6 Al 2.69
Mo 0.2500 0.2500 0.2500  6 Fe 2.67, 6 Mo 2.69
Fe 0.0025 0.0025 0.0025  3 Al 2.57, 3 Mo 2.67, 6 Fe 2.69
Fe 0.4975 0.4975 0.4975  3 Al 2.57, 3 Mo 2.67, 6 Fe 2.69

3.
An optimized crystal structure of Zr2FeRe, computed with PBE-GGA.

## Properties
* total magnetization: 0.3078 μB per atom
* DOS(E_F): 0.738 states/eV/atom
* energy relative to the elements: 186 meV/atom

Cell lengths 8.4352, 8.4352, 8.4352 Å; angles 21.64, 21.64, 21.64 degrees
Last column: nearest neighbours and their distance in Å.
Sites, in units of the cell vectors:
Zr 0.9975 0.9975 0.9975  3 Fe 2.71, 3 Re 2.80
Zr 0.5025 0.5025 0.5025  3 Fe 2.71, 3 Re 2.80
Fe 0.2500 0.2500 0.2500  6 Zr 2.71
Re 0.7500 0.7500 0.7500  6 Zr 2.80

Number 1: E_tot -4.604 eV per atom. Number 2: E_tot -7.779 eV per atom. Number 3: E_tot -9.316 eV per atom.